{
  "formula": "SrTl2Zn2",
  "functional": "GGA-PBE",
  "state": "relaxed",
  "formation_enthalpy_0k_kj_per_mol_fu": -89,
  "vol_a3_per_cell": 261,
  "dft_energy_ev_per_atom": -1.9766,
  "dos_at_fermi_per_ev_fu": 2.47,
  "lattice": [[4.7704, 0.0000, 0.0000], [0.0000, 4.7704, 0.0000], [0.0000, 0.0000, 11.4858]],
  "species": ["Sr", "Sr", "Tl", "Tl", "Tl", "Tl", "Zn", "Zn", "Zn", "Zn"],
  "fractional_positions": [[0.0000, 0.0000, 0.0000], [0.5000, 0.5000, 0.5000], [0.0000, 0.5000, 0.2500], [0.0000, 0.5000, 0.7500], [0.5000, 0.0000, 0.2500], [0.5000, 0.0000, 0.7500], [0.0000, 0.0000, 0.3927], [0.0000, 0.0000, 0.6073], [0.5000, 0.5000, 0.1073], [0.5000, 0.5000, 0.8927]]
}

***

{
  "formula": "Pm3SmGe",
  "functional": "GGA-PBE",
  "state": "relaxed",
  "formation_enthalpy_0k_kj_per_mol_fu": -120,
  "vol_a3_per_cell": 625,
  "dft_energy_ev_per_atom": -4.9671,
  "dos_at_fermi_per_ev_fu": 5.04,
  "lattice": [[6.7501, 0.0000, 0.0000], [0.0000, 9.7106, 0.0000], [0.0000, 0.0000, 9.5407]],
  "species": ["Pm", "Pm", "Pm", "Pm", "Pm", "Pm", "Pm", "Pm", "Pm", "Pm", "Pm", "Pm", "Sm", "Sm", "Sm", "Sm", "Ge", "Ge", "Ge", "Ge"],
  "fractional_positions": [[0.1251, 0.0603, 0.1866], [0.1251, 0.4397, 0.1866], [0.2408, 0.7500, 0.9988], [0.2592, 0.2500, 0.4988], [0.3749, 0.5603, 0.6866], [0.3749, 0.9397, 0.6866], [0.6251, 0.0603, 0.3134], [0.6251, 0.4397, 0.3134], [0.7408, 0.7500, 0.5012], [0.7592, 0.2500, 0.0012], [0.8749, 0.5603, 0.8134], [0.8749, 0.9397, 0.8134], [0.2338, 0.7500, 0.3739], [0.2662, 0.2500, 0.8739], [0.7338, 0.7500, 0.1261], [0.7662, 0.2500, 0.6261], [0.0000, 0.0000, 0.5000], [0.0000, 0.5000, 0.5000], [0.5000, 0.0000, 0.0000], [0.5000, 0.5000, 0.0000]]
}

***

{
  "formula": "MgZnPb2",
  "functional": "GGA-PBE",
  "state": "relaxed",
  "formation_enthalpy_0k_kj_per_mol_fu": 45,
  "vol_a3_per_cell": 329,
  "dft_energy_ev_per_atom": -2.4556,
  "dos_at_fermi_per_ev_fu": 1.69,
  "lattice": [[4.6480, 0.0000, 0.0000], [-2.3240, 4.0253, 0.0000], [0.0000, 0.0000, 17.5584]],
  "species": ["Mg", "Mg", "Mg", "Zn", "Zn", "Zn", "Pb", "Pb", "Pb", "Pb", "Pb", "Pb"],
  "fractional_positions": [[0.0000, 0.0000, 0.0000], [0.3333, 0.6667, 0.6667], [0.6667, 0.3333, 0.3333], [0.0000, 0.0000, 0.8297], [0.3333, 0.6667, 0.4964], [0.6667, 0.3333, 0.1631], [0.0000, 0.0000, 0.2339], [0.0000, 0.0000, 0.4260], [0.3333, 0.6667, 0.0927], [0.3333, 0.6667, 0.9006], [0.6667, 0.3333, 0.5672], [0.6667, 0.3333, 0.7593]]
}

***

{
  "formula": "Nd3Tl2Pb",
  "functional": "GGA-PBE",
  "state": "relaxed",
  "formation_enthalpy_0k_kj_per_mol_fu": -236,
  "vol_a3_per_cell": 364,
  "dft_energy_ev_per_atom": -4.1980,
  "dos_at_fermi_per_ev_fu": 3.69,
  "lattice": [[8.3851, -3.3226, 0.0000], [8.3851, 3.3226, 0.0000], [-1.4161, 0.0000, 6.5331]],
  "species": ["Nd", "Nd", "Nd", "Nd", "Nd", "Nd", "Tl", "Tl", "Tl", "Tl", "Pb", "Pb"],
  "fractional_positions": [[0.1360, 0.8640, 0.7500], [0.2108, 0.4482, 0.4027], [0.4482, 0.2108, 0.9027], [0.5518, 0.7892, 0.0973], [0.7892, 0.5518, 0.5973], [0.8640, 0.1360, 0.2500], [0.0469, 0.2838, 0.0597], [0.2838, 0.0469, 0.5597], [0.7162, 0.9531, 0.4403], [0.9531, 0.7162, 0.9403], [0.3628, 0.6372, 0.2500], [0.6372, 0.3628, 0.7500]]
}

***

{
  "formula": "AcCd3Ag2",
  "functional": "GGA-PBE",
  "state": "relaxed",
  "formation_enthalpy_0k_kj_per_mol_fu": -112,
  "vol_a3_per_cell": 304,
  "dft_energy_ev_per_atom": -2.2854,
  "dos_at_fermi_per_ev_fu": 3.12,
  "lattice": [[8.8200, -2.3325, 0.0000], [8.8200, 2.3325, 0.0000], [-3.9300, 0.0000, 7.3783]],
  "species": ["Ac", "Ac", "Cd", "Cd", "Cd", "Cd", "Cd", "Cd", "Ag", "Ag", "Ag", "Ag"],
  "fractional_positions": [[0.1360, 0.1360, 0.2110], [0.8640, 0.8640, 0.7890], [0.0466, 0.0466, 0.7000], [0.3109, 0.3109, 0.0837], [0.3857, 0.3857, 0.4907], [0.6143, 0.6143, 0.5093], [0.6891, 0.6891, 0.9163], [0.9534, 0.9534, 0.3000], [0.2117, 0.2117, 0.6941], [0.4826, 0.4826, 0.1427], [0.5174, 0.5174, 0.8573], [0.7883, 0.7883, 0.3059]]
}

***

{
  "formula": "TaIn2Mo",
  "functional": "GGA-PBE",
  "state": "relaxed",
  "formation_enthalpy_0k_kj_per_mol_fu": 99,
  "vol_a3_per_cell": 165,
  "dft_energy_ev_per_atom": -6.7824,
  "dos_at_fermi_per_ev_fu": 3.08,
  "lattice": [[3.3337, 0.0000, 0.0000], [0.0000, 5.1083, 0.0000], [0.0000, 0.0000, 9.6822]],
  "species": ["Ta", "Ta", "In", "In", "In", "In", "Mo", "Mo"],
  "fractional_positions": [[0.0000, 0.0000, 0.0000], [0.5000, 0.5000, 0.0000], [0.0000, 0.0000, 0.5507], [0.0000, 0.5000, 0.2585], [0.5000, 0.0000, 0.2585], [0.5000, 0.5000, 0.5507], [0.0000, 0.5000, 0.7956], [0.5000, 0.0000, 0.7956]]
}

***

{
  "formula": "Cs2VReI6",
  "functional": "GGA-PBE",
  "state": "relaxed",
  "vol_a3_per_cell": 377,
  "dft_energy_ev_per_atom": -3.6320,
  "dos_at_fermi_per_ev_fu": 10.55,
  "formation_energy_uncorrected_mev_per_atom": -375,
  "lattice": [[0.0000, 5.7344, 5.7344], [5.7344, 0.0000, 5.7344], [5.7344, 5.7344, 0.0000]],
  "species": ["Cs", "Cs", "V", "Re", "I", "I", "I", "I", "I", "I"],
  "fractional_positions": [[0.2500, 0.2500, 0.2500], [0.7500, 0.7500, 0.7500], [0.0000, 0.0000, 0.0000], [0.5000, 0.5000, 0.5000], [0.2565, 0.2565, 0.7435], [0.2565, 0.7435, 0.2565], [0.2565, 0.7435, 0.7435], [0.7435, 0.2565, 0.2565], [0.7435, 0.2565, 0.7435], [0.7435, 0.7435, 0.2565]]
}

***

{
  "formula": "MnNbAg2",
  "functional": "GGA-PBE",
  "state": "relaxed",
  "formation_enthalpy_0k_kj_per_mol_fu": 314,
  "vol_a3_per_cell": 262,
  "dft_energy_ev_per_atom": -5.4225,
  "dos_at_fermi_per_ev_fu": 8.43,
  "lattice": [[6.3990, 0.0000, 0.0000], [0.0000, 6.3990, 0.0000], [0.0000, 0.0000, 6.3990]],
  "species": ["Mn", "Mn", "Mn", "Mn", "Nb", "Nb", "Nb", "Nb", "Ag", "Ag", "Ag", "Ag", "Ag", "Ag", "Ag", "Ag"],
  "fractional_positions": [[0.0000, 0.0000, 0.0000], [0.0000, 0.5000, 0.5000], [0.5000, 0.0000, 0.5000], [0.5000, 0.5000, 0.0000], [0.0000, 0.0000, 0.5000], [0.0000, 0.5000, 0.0000], [0.5000, 0.0000, 0.0000], [0.5000, 0.5000, 0.5000], [0.2500, 0.2500, 0.2500], [0.2500, 0.2500, 0.7500], [0.2500, 0.7500, 0.2500], [0.2500, 0.7500, 0.7500], [0.7500, 0.2500, 0.2500], [0.7500, 0.2500, 0.7500], [0.7500, 0.7500, 0.2500], [0.7500, 0.7500, 0.7500]]
}

***

{
  "formula": "K2CuBr",
  "functional": "GGA-PBE",
  "state": "relaxed",
  "vol_a3_per_cell": 526,
  "dft_energy_ev_per_atom": -2.2577,
  "formation_energy_uncorrected_mev_per_atom": -267,
  "lattice": [[8.0708, 0.0000, 0.0000], [0.0000, 8.0708, 0.0000], [0.0000, 0.0000, 8.0708]],
  "species": ["K", "K", "K", "K", "K", "K", "K", "K", "Cu", "Cu", "Cu", "Cu", "Br", "Br", "Br", "Br"],
  "fractional_positions": [[0.0000, 0.0000, 0.0000], [0.0000, 0.5000, 0.5000], [0.2500, 0.2500, 0.2500], [0.2500, 0.7500, 0.7500], [0.5000, 0.0000, 0.5000], [0.5000, 0.5000, 0.0000], [0.7500, 0.2500, 0.7500], [0.7500, 0.7500, 0.2500], [0.2500, 0.2500, 0.7500], [0.2500, 0.7500, 0.2500], [0.7500, 0.2500, 0.2500], [0.7500, 0.7500, 0.7500], [0.0000, 0.0000, 0.5000], [0.0000, 0.5000, 0.0000], [0.5000, 0.0000, 0.0000], [0.5000, 0.5000, 0.5000]]
}

***

{
  "formula": "KAcLa2Se4",
  "functional": "GGA-PBE",
  "state": "relaxed",
  "vol_a3_per_cell": 245,
  "dft_energy_ev_per_atom": -5.4844,
  "dos_at_fermi_per_ev_fu": 3.24,
  "formation_energy_uncorrected_mev_per_atom": -1860,
  "lattice": [[7.6466, 0.0000, 0.0000], [0.0000, 4.3741, 0.0000], [-2.4890, 0.0000, 7.3158]],
  "species": ["K", "Ac", "La", "La", "Se", "Se", "Se", "Se"],
  "fractional_positions": [[0.0000, 0.0000, 0.0000], [0.5000, 0.5000, 0.0000], [0.0000, 0.5000, 0.5000], [0.5000, 0.0000, 0.5000], [0.2486, 0.0000, 0.7391], [0.2617, 0.5000, 0.2677], [0.7383, 0.5000, 0.7323], [0.7514, 0.0000, 0.2609]]
}

***

{
  "formula": "K3Ac3UTe8",
  "functional": "GGA-PBE",
  "state": "relaxed",
  "vol_a3_per_cell": 659,
  "dft_energy_ev_per_atom": -4.7699,
  "dos_at_fermi_per_ev_fu": 7.22,
  "formation_energy_uncorrected_mev_per_atom": -1301,
  "lattice": [[8.2741, -4.7709, 0.0000], [8.2741, 4.7709, 0.0000], [-5.5186, 0.0000, 8.3477]],
  "species": ["K", "K", "K", "Ac", "Ac", "Ac", "U", "Te", "Te", "Te", "Te", "Te", "Te", "Te", "Te"],
  "fractional_positions": [[0.0000, 0.0000, 0.0000], [0.0000, 0.5000, 0.0000], [0.5000, 0.0000, 0.0000], [0.0000, 0.5000, 0.5000], [0.5000, 0.0000, 0.5000], [0.5000, 0.5000, 0.5000], [0.0000, 0.0000, 0.5000], [0.2254, 0.2254, 0.7087], [0.2254, 0.7580, 0.7087], [0.2420, 0.7746, 0.2913], [0.2586, 0.2586, 0.2756], [0.7414, 0.7414, 0.7244], [0.7580, 0.2254, 0.7087], [0.7746, 0.2420, 0.2913], [0.7746, 0.7746, 0.2913]]
}